VASP calculation (PBE) on a relaxed structure of SrAlNi2.

The structure in CIF format:
```
data_SrAlNi2
_chemical_formula_sum 'Sr2 Al2 Ni4'
_symmetry_space_group_name_H-M 'C 1 m 1'
_symmetry_Int_Tables_number 8
_symmetry_space_group_name_Hall 'C -2y'
_cell_length_a 7.1900
_cell_length_b 4.1484
_cell_length_c 5.9647
_cell_angle_alpha 90.00
_cell_angle_beta 113.39
_cell_angle_gamma 90.00
loop_
_atom_site_label
_atom_site_type_symbol
_atom_site_fract_x
_atom_site_fract_y
_atom_site_fract_z
Sr1 Sr 0.0000 0.0000 0.0000
Al1 Al 0.1904 0.0000 0.5648
Ni1 Ni 0.0091 0.5000 0.5206
Ni2 Ni 0.3144 0.5000 0.4356
```

Summary:
Raw total energy, eV per cell: -36.08
Energy relative to the elements, meV per atom: -263
Fermi-level density of states, states/eV/cell: 4.9